## A
Computed, not measured: an optimized crystal structure of CaNb3Cd at the GGA-PBE level of DFT.

N(E_F) in states/eV/f.u.: 11.9
Total magnetization in Bohr magnetons per cell: 0.000

Unit cell a=5.1286 b=5.1286 c=5.1286 alpha=90.00 beta=90.00 gamma=90.00
Element x y z (fractional)
Ca 0.0000 0.0000 0.0000
Nb 0.0000 0.5000 0.5000
Nb 0.5000 0.0000 0.5000
Nb 0.5000 0.5000 0.0000
Cd 0.5000 0.5000 0.5000



## B
Computed, not measured: an optimized crystal structure of CaNb3Cd at the GGA-PBE level of DFT.

N(E_F) in states/eV/f.u.: 6.9
Total magnetization in Bohr magnetons per cell: 0.000

Unit cell a=4.7993 b=4.7993 c=4.7993 alpha=90.00 beta=90.00 gamma=90.00
Element x y z (fractional)
Ca 0.0000 0.0000 0.0000
Nb 0.0000 0.0000 0.5000
Nb 0.0000 0.5000 0.0000
Nb 0.5000 0.0000 0.0000
Cd 0.5000 0.5000 0.5000



Tell me which of them is the least stable. Sure, it is B.



## A
Computed, not measured: an optimized crystal structure of CaNdCd at the GGA-PBE level of DFT.

N(E_F) in states/eV/f.u.: 3.4
Total magnetization in Bohr magnetons per cell: 0.000

Unit cell a=7.3729 b=7.3729 c=7.3729 alpha=150.66 beta=150.66 gamma=41.97
Element x y z (fractional)
Ca 0.0000 0.0000 0.0000
Nd 0.7105 0.7105 0.0000
Cd 0.3548 0.3548 0.0000



## B
Computed, not measured: an optimized crystal structure of CaNdCd at the GGA-PBE level of DFT.

N(E_F) in states/eV/f.u.: 5.0
Total magnetization in Bohr magnetons per cell: 0.000

Unit cell a=5.5448 b=5.5448 c=7.0215 alpha=90.00 beta=90.00 gamma=120.00
Element x y z (fractional)
Ca 0.0000 0.0000 0.0000
Ca 0.0000 0.0000 0.5000
Nd 0.3333 0.6667 0.2500
Nd 0.6667 0.3333 0.7500
Cd 0.3333 0.6667 0.7500
Cd 0.6667 0.3333 0.2500



Tell me which of them is the least stable. Sure, it is A.



## A
Computed, not measured: an optimized crystal structure of CaNdCd at the GGA-PBE level of DFT.

N(E_F) in states/eV/f.u.: 4.2
Total magnetization in Bohr magnetons per cell: 0.000

Unit cell a=5.3119 b=5.3119 c=5.3119 alpha=60.00 beta=60.00 gamma=60.00
Element x y z (fractional)
Ca 0.0000 0.0000 0.0000
Nd 0.5000 0.5000 0.5000
Cd 0.7500 0.7500 0.7500



## B
Computed, not measured: an optimized crystal structure of CaNdCd at the GGA-PBE level of DFT.

N(E_F) in states/eV/f.u.: 3.0
Total magnetization in Bohr magnetons per cell: 0.000

Unit cell a=5.4292 b=5.4292 c=3.6822 alpha=90.00 beta=90.00 gamma=120.00
Element x y z (fractional)
Ca 0.0000 0.0000 0.0000
Nd 0.6667 0.3333 0.4449
Cd 0.3333 0.6667 0.7755



Tell me which of them is the least stable. Sure, it is A.